Li4Fe3Co5O16, optimized geometry, DFT PBE+U; E_tot = -161.7 eV per cell; V = 264 Å³/f.u.
1.0
5.698 0.000 0.000
-2.833 4.956 0.000
-0.149 -0.336 9.360
Li Fe Co O
4 3 5 16
Direct
0.000 0.000 0.000 Li
0.007 0.988 0.502 Li
0.311 0.629 0.098 Li
0.639 0.306 0.600 Li
0.640 0.811 0.782 Fe
0.814 0.135 0.282 Fe
0.818 0.632 0.282 Fe
0.143 0.809 0.784 Co
0.147 0.322 0.781 Co
0.311 0.640 0.508 Co
0.327 0.139 0.282 Co
0.643 0.301 0.006 Co
0.006 0.495 0.669 O
0.148 0.302 0.394 O
0.153 0.812 0.395 O
0.311 0.143 0.890 O
0.317 0.654 0.887 O
0.446 0.931 0.658 O
0.450 0.494 0.659 O
0.494 0.437 0.157 O
0.498 0.995 0.166 O
0.657 0.311 0.388 O
0.668 0.810 0.394 O
0.818 0.144 0.895 O
0.827 0.666 0.891 O
0.937 0.444 0.154 O
0.973 0.975 0.688 O
0.982 0.962 0.187 O